GaAsC (GGA-PBE, relaxed); calculated density = 4.4 g/cm³; offset from the most stable computed form = 0.15 eV per formula unit; E = -5.24 eV per atom; formation enthalpy at 0 K = 0.39 eV per atom
1.0
-2.996 0.398 -2.830
1.087 -2.270 -4.238
-1.852 -6.396 0.454
As C Ga
2 2 2
Direct
0.383 0.675 0.320
0.617 0.325 0.680
0.930 0.965 0.594
0.070 0.035 0.406
0.999 0.458 0.193
0.001 0.542 0.807